No. 1
# Cs3NbS4, optimized geometry, DFT PBE
# Raw formation energy   -29.61 kcal/mol of atoms
# Electronic total energy   -4.93 eV per atom
data_Cs3NbS4
_chemical_formula_sum 'Cs12 Nb4 S16'
_cell_length_a 10.073
_cell_length_b 11.797
_cell_length_c 10.222
_cell_angle_alpha 90.00
_cell_angle_beta 90.00
_cell_angle_gamma 90.00
_symmetry_space_group_name_H-M 'P n m a'
_symmetry_Int_Tables_number 62
loop_
_symmetry_equiv_pos_as_xyz
'x,y,z'
'-x,-y,-z'
'-x+1/2,-y,z+1/2'
'x+1/2,y,-z+1/2'
'x+1/2,-y+1/2,-z+1/2'
'-x+1/2,y+1/2,z+1/2'
'-x,y+1/2,-z'
'x,-y+1/2,z'
loop_
_atom_site_label
_atom_site_type_symbol
_atom_site_fract_x
_atom_site_fract_y
_atom_site_fract_z
Cs1 Cs 0.050 0.042 0.210
Cs2 Cs 0.145 0.750 0.422
Nb1 Nb 0.221 0.750 0.985
S1 S 0.011 0.750 0.074
S2 S 0.167 0.089 0.548
S3 S 0.204 0.750 0.761



No. 2
# RbLi2FeRe, optimized geometry, DFT PBE
# Electronic total energy   -4.14 eV per atom
# ΔE_f   0.998 eV per atom
data_RbLi2FeRe
_chemical_formula_sum 'Rb1 Li2 Fe1 Re1'
_cell_length_a 5.218
_cell_length_b 5.218
_cell_length_c 4.316
_cell_angle_alpha 90.00
_cell_angle_beta 90.00
_cell_angle_gamma 90.00
_symmetry_space_group_name_H-M 'P 4/m m m'
_symmetry_Int_Tables_number 123
_symmetry_space_group_name_Hall '-P 4 2'
loop_
_atom_site_label
_atom_site_type_symbol
_atom_site_fract_x
_atom_site_fract_y
_atom_site_fract_z
Rb1 Rb 0.000 0.000 0.000
Li1 Li 0.000 0.500 0.500
Fe1 Fe 0.500 0.500 0.500
Re1 Re 0.500 0.500 0.000



No. 3
# LaNpGa, optimized geometry, DFT PBE
# Electronic total energy   -6.87 eV per atom
# ΔE_f   0.091 eV per atom
data_LaNpGa
_chemical_formula_sum 'La8 Np8 Ga8'
_cell_length_a 4.792
_cell_length_b 6.032
_cell_length_c 21.547
_cell_angle_alpha 90.00
_cell_angle_beta 90.00
_cell_angle_gamma 90.00
_symmetry_space_group_name_H-M 'F m m m'
_symmetry_Int_Tables_number 69
_symmetry_space_group_name_Hall '-F 2 2'
loop_
_atom_site_label
_atom_site_type_symbol
_atom_site_fract_x
_atom_site_fract_y
_atom_site_fract_z
La1 La 0.000 0.000 0.124
Np1 Np 0.000 0.200 0.500
Ga1 Ga 0.250 0.250 0.250



No. 4
# AcTa6Se12, optimized geometry, DFT PBE
# Raw formation energy   -9.53 kcal/mol of atoms
# Electronic total energy   -6.57 eV per atom
data_AcTa6Se12
_chemical_formula_sum 'Ac3 Ta18 Se36'
_cell_length_a 12.6086
_cell_length_b 12.6086
_cell_length_c 8.6225
_cell_angle_alpha 90.00
_cell_angle_beta 90.00
_cell_angle_gamma 120.00
_symmetry_space_group_name_H-M 'R -3 m'
_symmetry_Int_Tables_number 166
_symmetry_space_group_name_Hall '-R 3 2"'
loop_
_atom_site_label
_atom_site_type_symbol
_atom_site_fract_x
_atom_site_fract_y
_atom_site_fract_z
Ac1 Ac 0.0000 0.0000 0.0000
Ta1 Ta 0.0564 0.5282 0.2401
Se1 Se 0.0000 0.3806 0.5000
Se2 Se 0.0885 0.1770 0.3061



No. 5
# CrBSe2Br, optimized geometry, DFT PBE
# Energy above the lowest structure with this stoichiometry   0.242 eV per atom
# Raw formation energy   26.18 kcal/mol of atoms
# Electronic total energy   -3.85 eV per atom
data_CrBSe2Br
_chemical_formula_sum 'Cr1 B1 Se2 Br1'
_cell_length_a 4.461
_cell_length_b 4.461
_cell_length_c 4.590
_cell_angle_alpha 90.00
_cell_angle_beta 90.00
_cell_angle_gamma 90.00
_symmetry_space_group_name_H-M 'P 4/m m m'
_symmetry_Int_Tables_number 123
_symmetry_space_group_name_Hall '-P 4 2'
loop_
_atom_site_label
_atom_site_type_symbol
_atom_site_fract_x
_atom_site_fract_y
_atom_site_fract_z
Cr1 Cr 0.000 0.000 0.000
B1 B 0.500 0.500 0.500
Se1 Se 0.000 0.500 0.500
Br1 Br 0.500 0.500 0.000



No. 6
# Ac2ErTa, optimized geometry, DFT PBE
# Electronic total energy   -5.27 eV per atom
# ΔE_f   0.887 eV per atom
data_Ac2ErTa
_chemical_formula_sum 'Ac6 Er3 Ta3'
_cell_length_a 3.4965
_cell_length_b 3.4965
_cell_length_c 36.9033
_cell_angle_alpha 90.00
_cell_angle_beta 90.00
_cell_angle_gamma 120.00
_symmetry_space_group_name_H-M 'R -3 m'
_symmetry_Int_Tables_number 166
_symmetry_space_group_name_Hall '-R 3 2"'
loop_
_atom_site_label
_atom_site_type_symbol
_atom_site_fract_x
_atom_site_fract_y
_atom_site_fract_z
Ac1 Ac 0.0000 0.0000 0.0823
Er1 Er 0.0000 0.0000 0.5000
Ta1 Ta 0.0000 0.0000 0.0000



No. 7
# Th2CoCuGe, optimized geometry, DFT PBE
# Electronic total energy   -6.51 eV per atom
# ΔE_f   -0.381 eV per atom
data_Th2CoCuGe
_chemical_formula_sum 'Th4 Co2 Cu2 Ge2'
_cell_length_a 7.231
_cell_length_b 4.191
_cell_length_c 7.347
_cell_angle_alpha 90.00
_cell_angle_beta 108.93
_cell_angle_gamma 90.00
_symmetry_space_group_name_H-M 'P 1 21/m 1'
_symmetry_Int_Tables_number 11
loop_
_symmetry_equiv_pos_as_xyz
'x,y,z'
'-x,-y,-z'
'-x,y+1/2,-z'
'x,-y+1/2,z'
loop_
_atom_site_label
_atom_site_type_symbol
_atom_site_fract_x
_atom_site_fract_y
_atom_site_fract_z
Th1 Th 0.058 0.250 0.218
Th2 Th 0.366 0.750 0.634
Co1 Co 0.082 0.250 0.596
Cu1 Cu 0.349 0.750 0.129
Ge1 Ge 0.302 0.250 0.928



No. 8
# Pm12Ge6Rh, optimized geometry, DFT PBE
# Electronic total energy   -5.38 eV per atom
# ΔE_f   -0.536 eV per atom
data_Pm12Ge6Rh
_chemical_formula_sum 'Pm36 Ge18 Rh3'
_cell_length_a 13.0489
_cell_length_b 13.0489
_cell_length_c 12.0243
_cell_angle_alpha 90.00
_cell_angle_beta 90.00
_cell_angle_gamma 120.00
_symmetry_space_group_name_H-M 'R -3'
_symmetry_Int_Tables_number 148
_symmetry_space_group_name_Hall '-R 3'
loop_
_atom_site_label
_atom_site_type_symbol
_atom_site_fract_x
_atom_site_fract_y
_atom_site_fract_z
Pm1 Pm 0.0328 0.2055 0.3916
Pm2 Pm 0.0475 0.2053 0.8851
Ge1 Ge 0.0473 0.2707 0.6486
Rh1 Rh 0.0000 0.0000 0.0000



No. 9
# MgScInRu, optimized geometry, DFT PBE
# Electronic total energy   -5.20 eV per atom
# ΔE_f   -0.215 eV per atom
data_MgScInRu
_chemical_formula_sum 'Mg4 Sc4 In4 Ru4'
_cell_length_a 6.661
_cell_length_b 6.661
_cell_length_c 6.661
_cell_angle_alpha 90.00
_cell_angle_beta 90.00
_cell_angle_gamma 90.00
_symmetry_space_group_name_H-M 'F -4 3 m'
_symmetry_Int_Tables_number 216
_symmetry_space_group_name_Hall 'F -4 2 3'
loop_
_atom_site_label
_atom_site_type_symbol
_atom_site_fract_x
_atom_site_fract_y
_atom_site_fract_z
Mg1 Mg 0.000 0.000 0.000
Sc1 Sc 0.000 0.000 0.500
In1 In 0.250 0.250 0.750
Ru1 Ru 0.250 0.250 0.250



No. 10
# NiAsSe, optimized geometry, DFT PBE
# Raw formation energy   11.32 kcal/mol of atoms
# Electronic total energy   -4.15 eV per atom
data_NiAsSe
_chemical_formula_sum 'Ni4 As4 Se4'
_cell_length_a 6.146
_cell_length_b 6.146
_cell_length_c 6.146
_cell_angle_alpha 90.00
_cell_angle_beta 90.00
_cell_angle_gamma 90.00
_symmetry_space_group_name_H-M 'F -4 3 m'
_symmetry_Int_Tables_number 216
_symmetry_space_group_name_Hall 'F -4 2 3'
loop_
_atom_site_label
_atom_site_type_symbol
_atom_site_fract_x
_atom_site_fract_y
_atom_site_fract_z
Ni1 Ni 0.000 0.000 0.000
As1 As 0.250 0.250 0.750
Se1 Se 0.000 0.000 0.500



No. 11
# LaTcGe3, optimized geometry, DFT PBE
# Energy above the lowest structure with this stoichiometry   2.444 eV per atom
# Electronic total energy   -3.90 eV per atom
# ΔE_f   1.926 eV per atom
data_LaTcGe3
_chemical_formula_sum 'La1 Tc1 Ge3'
_cell_length_a 5.346
_cell_length_b 5.346
_cell_length_c 5.346
_cell_angle_alpha 90.00
_cell_angle_beta 90.00
_cell_angle_gamma 90.00
_symmetry_space_group_name_H-M 'P m -3 m'
_symmetry_Int_Tables_number 221
_symmetry_space_group_name_Hall '-P 4 2 3'
loop_
_atom_site_label
_atom_site_type_symbol
_atom_site_fract_x
_atom_site_fract_y
_atom_site_fract_z
La1 La 0.000 0.000 0.000
Tc1 Tc 0.500 0.500 0.500
Ge1 Ge 0.000 0.000 0.500



No. 12
# CdBiN3, optimized geometry, DFT PBE
# Raw formation energy   46.73 kcal/mol of atoms
# Electronic total energy   -3.93 eV per atom
data_CdBiN3
_chemical_formula_sum 'Cd1 Bi1 N3'
_cell_length_a 4.204
_cell_length_b 4.204
_cell_length_c 4.204
_cell_angle_alpha 90.00
_cell_angle_beta 90.00
_cell_angle_gamma 90.00
_symmetry_space_group_name_H-M 'P m -3 m'
_symmetry_Int_Tables_number 221
_symmetry_space_group_name_Hall '-P 4 2 3'
loop_
_atom_site_label
_atom_site_type_symbol
_atom_site_fract_x
_atom_site_fract_y
_atom_site_fract_z
Cd1 Cd 0.000 0.000 0.000
Bi1 Bi 0.500 0.500 0.500
N1 N 0.000 0.000 0.500



No. 13
# Ce2PaCuS6, optimized geometry, DFT PBE
# Raw formation energy   -29.63 kcal/mol of atoms
# Electronic total energy   -6.31 eV per atom
data_Ce2PaCuS6
_chemical_formula_sum 'Ce2 Pa1 Cu1 S6'
_cell_length_a 6.514
_cell_length_b 6.514
_cell_length_c 6.000
_cell_angle_alpha 90.00
_cell_angle_beta 90.00
_cell_angle_gamma 90.00
_symmetry_space_group_name_H-M 'P 4 m m'
_symmetry_Int_Tables_number 99
loop_
_symmetry_equiv_pos_as_xyz
'x,y,z'
'-y,x,z'
'-x,-y,z'
'y,-x,z'
'-x,y,z'
'y,x,z'
'x,-y,z'
'-y,-x,z'
loop_
_atom_site_label
_atom_site_type_symbol
_atom_site_fract_x
_atom_site_fract_y
_atom_site_fract_z
Ce1 Ce 0.000 0.500 0.000
Pa1 Pa 0.000 0.000 0.598
Cu1 Cu 0.500 0.500 0.535
S1 S 0.000 0.000 0.147
S2 S 0.264 0.264 0.719
S3 S 0.500 0.500 0.167



No. 14
# Mg2ScCd, optimized geometry, DFT PBE
# Electronic total energy   -2.70 eV per atom
# ΔE_f   -0.088 eV per atom
data_Mg2ScCd
_chemical_formula_sum 'Mg2 Sc1 Cd1'
_cell_length_a 3.271
_cell_length_b 3.271
_cell_length_c 8.377
_cell_angle_alpha 90.00
_cell_angle_beta 90.00
_cell_angle_gamma 90.00
_symmetry_space_group_name_H-M 'P 4/m m m'
_symmetry_Int_Tables_number 123
_symmetry_space_group_name_Hall '-P 4 2'
loop_
_atom_site_label
_atom_site_type_symbol
_atom_site_fract_x
_atom_site_fract_y
_atom_site_fract_z
Mg1 Mg 0.000 0.000 0.235
Sc1 Sc 0.500 0.500 0.500
Cd1 Cd 0.500 0.500 0.000



No. 15
# MgPb4, optimized geometry, DFT PBE
# Energy above the lowest structure with this stoichiometry   0.155 eV per atom
# Electronic total energy   -3.14 eV per atom
# ΔE_f   0.148 eV per atom
data_MgPb4
_chemical_formula_sum 'Mg2 Pb8'
_cell_length_a 6.892
_cell_length_b 6.892
_cell_length_c 6.892
_cell_angle_alpha 90.00
_cell_angle_beta 90.00
_cell_angle_gamma 90.00
_symmetry_space_group_name_H-M 'I m -3 m'
_symmetry_Int_Tables_number 229
_symmetry_space_group_name_Hall '-I 4 2 3'
loop_
_atom_site_label
_atom_site_type_symbol
_atom_site_fract_x
_atom_site_fract_y
_atom_site_fract_z
Mg1 Mg 0.000 0.000 0.000
Pb1 Pb 0.250 0.250 0.250



No. 16
# La2PrHo6Er3, optimized geometry, DFT PBE
# Electronic total energy   -4.62 eV per atom
# ΔE_f   0.025 eV per atom
data_La2PrHo6Er3
_chemical_formula_sum 'La4 Pr2 Ho12 Er6'
_cell_length_a 6.198
_cell_length_b 10.733
_cell_length_c 11.818
_cell_angle_alpha 90.00
_cell_angle_beta 100.06
_cell_angle_gamma 90.00
_symmetry_space_group_name_H-M 'C 1 2/m 1'
_symmetry_Int_Tables_number 12
loop_
_symmetry_equiv_pos_as_xyz
'x,y,z'
'-x,-y,-z'
'-x,y,-z'
'x,-y,z'
'x+1/2,y+1/2,z'
'-x+1/2,-y+1/2,-z'
'-x+1/2,y+1/2,-z'
'x+1/2,-y+1/2,z'
loop_
_atom_site_label
_atom_site_type_symbol
_atom_site_fract_x
_atom_site_fract_y
_atom_site_fract_z
La1 La 0.000 0.167 0.000
Pr1 Pr 0.000 0.500 0.000
Ho1 Ho 0.246 0.500 0.744
Ho2 Ho 0.247 0.167 0.744
Er1 Er 0.000 0.000 0.500
Er2 Er 0.000 0.333 0.500



No. 17
# BaZnPRh, optimized geometry, DFT PBE
# Electronic total energy   -4.63 eV per atom
# ΔE_f   -0.637 eV per atom
data_BaZnPRh
_chemical_formula_sum 'Ba2 Zn2 P2 Rh2'
_cell_length_a 3.962
_cell_length_b 3.962
_cell_length_c 12.146
_cell_angle_alpha 90.00
_cell_angle_beta 90.00
_cell_angle_gamma 90.00
_symmetry_space_group_name_H-M 'P 4/n m m'
_symmetry_Int_Tables_number 129
loop_
_symmetry_equiv_pos_as_xyz
'x,y,z'
'-x,-y,-z'
'-y+1/2,x,z'
'y+1/2,-x,-z'
'-x+1/2,-y+1/2,z'
'x+1/2,y+1/2,-z'
'y,-x+1/2,z'
'-y,x+1/2,-z'
'x+1/2,-y,-z'
'-x+1/2,y,z'
'-y,-x,-z'
'y,x,z'
'-x,y+1/2,-z'
'x,-y+1/2,z'
'y+1/2,x+1/2,-z'
'-y+1/2,-x+1/2,z'
loop_
_atom_site_label
_atom_site_type_symbol
_atom_site_fract_x
_atom_site_fract_y
_atom_site_fract_z
Ba1 Ba 0.250 0.250 0.247
Zn1 Zn 0.250 0.750 0.500
P1 P 0.250 0.250 0.891
Rh1 Rh 0.250 0.750 0.000



No. 18
# Tm2TcCl, optimized geometry, DFT PBE
# Energy above the lowest structure with this stoichiometry   0.059 eV per atom
# Raw formation energy   -15.30 kcal/mol of atoms
# Electronic total energy   -5.95 eV per atom
data_Tm2TcCl
_chemical_formula_sum 'Tm6 Tc3 Cl3'
_cell_length_a 3.5217
_cell_length_b 3.5217
_cell_length_c 24.7363
_cell_angle_alpha 90.00
_cell_angle_beta 90.00
_cell_angle_gamma 120.00
_symmetry_space_group_name_H-M 'R -3 m'
_symmetry_Int_Tables_number 166
_symmetry_space_group_name_Hall '-R 3 2"'
loop_
_atom_site_label
_atom_site_type_symbol
_atom_site_fract_x
_atom_site_fract_y
_atom_site_fract_z
Tm1 Tm 0.0000 0.0000 0.2439
Tc1 Tc 0.0000 0.0000 0.5000
Cl1 Cl 0.0000 0.0000 0.0000



No. 19
# TlFe2AuCl8, optimized geometry, DFT PBE
# Raw formation energy   -15.77 kcal/mol of atoms
# Electronic total energy   -3.80 eV per atom
data_TlFe2AuCl8
_chemical_formula_sum 'Tl2 Fe4 Au2 Cl16'
_cell_length_a 13.440
_cell_length_b 6.987
_cell_length_c 8.244
_cell_angle_alpha 90.00
_cell_angle_beta 111.90
_cell_angle_gamma 90.00
_symmetry_space_group_name_H-M 'C 1 2/m 1'
_symmetry_Int_Tables_number 12
loop_
_symmetry_equiv_pos_as_xyz
'x,y,z'
'-x,-y,-z'
'-x,y,-z'
'x,-y,z'
'x+1/2,y+1/2,z'
'-x+1/2,-y+1/2,-z'
'-x+1/2,y+1/2,-z'
'x+1/2,-y+1/2,z'
loop_
_atom_site_label
_atom_site_type_symbol
_atom_site_fract_x
_atom_site_fract_y
_atom_site_fract_z
Tl1 Tl 0.000 0.000 0.000
Fe1 Fe 0.191 0.000 0.667
Au1 Au 0.000 0.500 0.500
Cl1 Cl 0.107 0.250 0.730
Cl2 Cl 0.139 0.500 0.164
Cl3 Cl 0.174 0.000 0.391



No. 20
# LaHoSi2Pt2, optimized geometry, DFT PBE
# Raw formation energy   -26.49 kcal/mol of atoms
# Electronic total energy   -6.55 eV per atom
data_LaHoSi2Pt2
_chemical_formula_sum 'La1 Ho1 Si2 Pt2'
_cell_length_a 4.1907
_cell_length_b 4.1907
_cell_length_c 8.3189
_cell_angle_alpha 90.00
_cell_angle_beta 90.00
_cell_angle_gamma 120.00
_symmetry_space_group_name_H-M 'P -3 m 1'
_symmetry_Int_Tables_number 164
_symmetry_space_group_name_Hall '-P 3 2"'
loop_
_atom_site_label
_atom_site_type_symbol
_atom_site_fract_x
_atom_site_fract_y
_atom_site_fract_z
La1 La 0.0000 0.0000 0.0000
Ho1 Ho 0.0000 0.0000 0.5000
Si1 Si 0.3333 0.6667 0.2605
Pt1 Pt 0.3333 0.6667 0.7295